The following is a PBE calculation of a geometry-optimized TaNiCl2 structure, from Alexandria.

Calculated values
As for the relative energy among the computed polymorphs: 0.760 eV per atom. Its uncorrected formation energy is 0.2131 eV per atom. The space group is P2/m.

abc: 4.2150 3.0685 5.1705
angles: 95.20 90.00 90.00
Last column: nearest neighbours and their distance in Å.
Fractional coordinates of all 4 atoms:
Cl1 0.0000 0.5377 0.5021  2 Ta 2.52, 2 Ni 2.59, 1 Cl 2.77
Cl2 0.0000 0.9623 0.9979  2 Ta 2.52, 2 Ni 2.59, 1 Cl 2.77
Ni1 0.5000 0.2500 0.2500  4 Cl 2.59, 2 Ta 2.88
Ta1 0.5000 0.7500 0.7500  4 Cl 2.52

***

The following is a PBE calculation of a geometry-optimized TaNi2Cl structure, from Alexandria.

Calculated values
As for the relative energy among the computed polymorphs: 0.404 eV per atom. Its uncorrected formation energy is 0.3349 eV per atom. The space group is F-43m.

abc: 4.2581 4.2581 4.2581
angles: 119.97 119.97 90.05
Last column: nearest neighbours and their distance in Å.
Fractional coordinates of all 4 atoms:
Ni1 0.0000 0.0000 0.0000  4 Cl 2.61, 4 Ni 2.61
Ni2 0.2500 0.7500 0.5000  4 Ta 2.61, 4 Ni 2.61
Cl1 0.7500 0.2500 0.5000  4 Ta 2.61, 4 Ni 2.61
Ta1 0.5000 0.5000 0.0000  4 Cl 2.61, 4 Ni 2.61

***

The following is a PBE calculation of a geometry-optimized Ta2NiCl structure, from Alexandria.

Calculated values
As for the relative energy among the computed polymorphs: 0.232 eV per atom. Its uncorrected formation energy is 0.1996 eV per atom. The space group is Pm.

abc: 4.6321 2.8339 4.9098
angles: 84.19 90.00 90.00
Last column: nearest neighbours and their distance in Å.
Fractional coordinates of all 4 atoms:
Ta1 0.0000 0.1146 0.9425  2 Cl 2.43-2.57, 2 Ni 2.63
Ta2 0.5000 0.3407 0.3012  2 Cl 2.43, 1 Ni 2.59
Ni1 0.5000 0.7663 0.8085  5 Ta 2.59-2.88, 2 Ni 2.83
Cl1 0.0000 0.2784 0.4479  4 Ta 2.43-2.57

***

The following is a PBE calculation of a geometry-optimized TaNi2Cl structure, from Alexandria.

Calculated values
As for the relative energy among the computed polymorphs: 0.332 eV per atom. Its uncorrected formation energy is 0.2633 eV per atom. The space group is Immm.

abc: 5.0979 5.0979 4.4292
angles: 64.28 64.28 32.19
Last column: nearest neighbours and their distance in Å.
Fractional coordinates of all 4 atoms:
Ni1 0.4904 0.4904 0.5093  2 Cl 2.53, 6 Ni 2.63-2.83, 2 Ta 2.67
Ni2 0.0096 0.0096 0.9907  2 Cl 2.53, 6 Ni 2.63-2.83, 2 Ta 2.67
Ta1 0.2500 0.2500 0.2500  4 Cl 2.63, 4 Ni 2.67, 2 Ta 2.83
Cl1 0.7500 0.7500 0.7500  4 Ni 2.53, 4 Ta 2.63, 2 Cl 2.83

***

The following is a PBE calculation of a geometry-optimized Ta2NiCl structure, from Alexandria.

Calculated values
As for the relative energy among the computed polymorphs: 0.983 eV per atom. Its uncorrected formation energy is 0.9509 eV per atom. The space group is F-43m.

abc: 4.5639 4.5639 4.5639
angles: 60.00 60.00 60.00
Last column: nearest neighbours and their distance in Å.
Fractional coordinates of all 4 atoms:
Cl1 0.5000 0.5000 0.5000  4 Ta 2.79, 4 Ni 2.79
Ta1 0.0000 0.0000 0.0000  4 Ta 2.79, 4 Ni 2.79
Ta2 0.7500 0.7500 0.7500  4 Ta 2.79, 4 Cl 2.79
Ni1 0.2500 0.2500 0.2500  4 Ta 2.79, 4 Cl 2.79

***

The following is a PBE calculation of a geometry-optimized TaNiCl2 structure, from Alexandria.

Calculated values
As for the relative energy among the computed polymorphs: 0.232 eV per atom. Its uncorrected formation energy is -0.3150 eV per atom. The space group is C2/m.

abc: 7.6986 7.6986 4.2666
angles: 74.30 74.30 22.44
Last column: nearest neighbours and their distance in Å.
Fractional coordinates of all 4 atoms:
Ni1 0.7500 0.7500 0.7500  4 Ta 2.61
Cl1 0.8888 0.8888 0.1146  2 Ta 2.51
Cl2 0.6112 0.6112 0.3854  2 Ta 2.51
Ta1 0.2500 0.2500 0.2500  4 Cl 2.51, 4 Ni 2.61

***

The following is a PBE calculation of a geometry-optimized TaNiCl2 structure, from Alexandria.

Calculated values
As for the relative energy among the computed polymorphs: 1.135 eV per atom. Its uncorrected formation energy is 0.5883 eV per atom. The space group is I-4m2.

abc: 4.7687 4.7687 4.7687
angles: 128.43 128.43 75.94
Last column: nearest neighbours and their distance in Å.
Fractional coordinates of all 4 atoms:
Ta1 0.7500 0.2500 0.5000  8 Cl 2.80-2.93, 4 Ni 2.80
Ni1 0.5000 0.5000 0.0000  4 Ta 2.80, 8 Cl 2.80-2.93
Cl1 0.2500 0.7500 0.5000  4 Cl 2.80, 4 Ni 2.80, 4 Ta 2.93
Cl2 0.0000 0.0000 0.0000  4 Ta 2.80, 4 Cl 2.80, 4 Ni 2.93

***

The following is a PBE calculation of a geometry-optimized TaNiCl2 structure, from Alexandria.

Calculated values
As for the relative energy among the computed polymorphs: 0.000 eV per atom. Its uncorrected formation energy is -0.5466 eV per atom. The space group is Pm.

abc: 3.1190 3.3258 8.0691
angles: 79.18 90.00 90.00
Last column: nearest neighbours and their distance in Å.
Fractional coordinates of all 4 atoms:
Ni1 0.0000 0.5450 0.5260  4 Ta 2.60, 4 Cl 2.61
Cl1 0.5000 0.1176 0.3659  1 Ta 2.52, 4 Ni 2.61
Cl2 0.0000 0.8638 0.9248  2 Ta 2.47
Ta1 0.5000 0.9735 0.6833  3 Cl 2.47-2.52, 4 Ni 2.60

***

The following is a PBE calculation of a geometry-optimized TaNi2Cl structure, from Alexandria.

Calculated values
As for the relative energy among the computed polymorphs: 0.139 eV per atom. Its uncorrected formation energy is 0.0696 eV per atom. The space group is P4/mmm.

abc: 2.9343 2.9343 6.8979
angles: 90.00 90.00 90.00
Last column: nearest neighbours and their distance in Å.
Fractional coordinates of all 4 atoms:
Cl1 0.5000 0.5000 0.7500  8 Ni 2.73, 4 Cl 2.93
Ta1 0.5000 0.5000 0.2500  8 Ni 2.66, 4 Ta 2.93
Ni1 0.0000 0.0000 0.0082  4 Ta 2.66, 4 Cl 2.73, 4 Ni 2.93
Ni2 0.0000 0.0000 0.4918  4 Ta 2.66, 4 Cl 2.73, 4 Ni 2.93

***

The following is a PBE calculation of a geometry-optimized TaNi2Cl structure, from Alexandria.

Calculated values
As for the relative energy among the computed polymorphs: 0.077 eV per atom. Its uncorrected formation energy is 0.0078 eV per atom. The space group is P2/m.

abc: 2.9838 2.9997 7.0128
angles: 90.08 90.00 90.00
Last column: nearest neighbours and their distance in Å.
Fractional coordinates of all 4 atoms:
Ta1 0.5000 0.2500 0.2500  8 Ni 2.64
Ni1 0.0000 0.7499 0.0249  2 Cl 2.44, 4 Ta 2.64
Ni2 0.0000 0.7501 0.4751  2 Cl 2.44, 4 Ta 2.64
Cl1 0.5000 0.7500 0.7500  4 Ni 2.44

***

The following is a PBE calculation of a geometry-optimized TaNiCl2 structure, from Alexandria.

Calculated values
As for the relative energy among the computed polymorphs: 1.014 eV per atom. Its uncorrected formation energy is 0.4670 eV per atom. The space group is I-42d.

abc: 5.6814 5.6814 6.1065
angles: 62.28 62.28 90.00
Last column: nearest neighbours and their distance in Å.
Fractional coordinates of all 8 atoms:
Cl1 0.1583 0.6250 0.2500  2 Ni 2.20, 2 Ta 2.44
Cl2 0.8750 0.8417 0.7500  2 Ni 2.20, 2 Ta 2.44
Cl3 0.3750 0.4083 0.7500  2 Ni 2.20, 2 Ta 2.44
Cl4 0.5917 0.1250 0.2500  2 Ni 2.20, 2 Ta 2.44
Ni1 0.2500 0.7500 0.5000  4 Cl 2.20
Ni2 0.5000 0.5000 0.0000  4 Cl 2.20
Ta1 0.0000 0.0000 0.0000  4 Cl 2.44
Ta2 0.7500 0.2500 0.5000  4 Cl 2.44

***

The following is a PBE calculation of a geometry-optimized TaNiCl4 structure, from Alexandria.

Calculated values
Its uncorrected formation energy is 1.3179 eV per atom. The space group is F-43m.

abc: 5.4917 5.4917 5.4917
angles: 60.00 60.00 60.00
Last column: nearest neighbours and their distance in Å.
Fractional coordinates of all 6 atoms:
Ni1 0.7500 0.7500 0.7500  12 Cl 3.22, 4 Ta 3.36
Cl1 0.3751 0.3751 0.3751  6 Cl 2.74-2.75
Cl2 0.3751 0.3751 0.8747  6 Cl 2.74-2.75
Cl3 0.8747 0.3751 0.3751  6 Cl 2.74-2.75
Cl4 0.3751 0.8747 0.3751  6 Cl 2.74-2.75
Ta1 0.0000 0.0000 0.0000  12 Cl 3.22, 4 Ni 3.36